Entry 1:
Material: Hg12Ge3Sb5
Method: DFT, GGA-PBE
State: optimized geometry

Unit cell a=14.5332 b=14.5332 c=14.5332 alpha=109.47 beta=109.47 gamma=109.47
Closest atoms and distances in Å follow each position.
Positions (direct):
Ge (0.7500, 0.3750, 0.1250)  4 Hg 2.77
Ge (0.3750, 0.7500, 0.6250)  4 Hg 2.77
Ge (0.6250, 0.2500, 0.3750)  4 Hg 2.77
Ge (0.8750, 0.1250, 0.2500)  4 Hg 2.77
Ge (0.2500, 0.1250, 0.3750)  4 Hg 2.77
Ge (0.1250, 0.2500, 0.8750)  4 Hg 2.77
Ge (0.2500, 0.6250, 0.8750)  4 Hg 2.77
Ge (0.8750, 0.7500, 0.1250)  4 Hg 2.77
Ge (0.6250, 0.3750, 0.7500)  4 Hg 2.77
Ge (0.1250, 0.8750, 0.7500)  4 Hg 2.77
Ge (0.3750, 0.6250, 0.2500)  4 Hg 2.77
Ge (0.7500, 0.8750, 0.6250)  4 Hg 2.77
Sb (0.1250, 0.3750, 0.2500)  4 Hg 2.80
Sb (0.0000, 0.5000, 0.5000)  6 Hg 2.97
Sb (0.5000, 0.0000, 0.5000)  6 Hg 2.97
Sb (0.3750, 0.2500, 0.1250)  4 Hg 2.80
Sb (0.7500, 0.1250, 0.8750)  4 Hg 2.80
Sb (0.3750, 0.1250, 0.7500)  4 Hg 2.80
Sb (0.8750, 0.2500, 0.6250)  4 Hg 2.80
Sb (0.7500, 0.6250, 0.3750)  4 Hg 2.80
Sb (0.2500, 0.8750, 0.1250)  4 Hg 2.80
Sb (0.5000, 0.0000, 0.0000)  6 Hg 2.97
Sb (0.1250, 0.7500, 0.3750)  4 Hg 2.80
Sb (0.6250, 0.7500, 0.8750)  4 Hg 2.80
Sb (0.5000, 0.5000, 0.0000)  6 Hg 2.97
Sb (0.8750, 0.6250, 0.7500)  4 Hg 2.80
Sb (0.0000, 0.0000, 0.5000)  6 Hg 2.97
Sb (0.2500, 0.3750, 0.6250)  4 Hg 2.80
Sb (0.6250, 0.8750, 0.2500)  4 Hg 2.80
Sb (0.0000, 0.5000, 0.0000)  6 Hg 2.97
Sb (0.0000, 0.0000, 0.0000)  6 Hg 2.97
Sb (0.5000, 0.5000, 0.5000)  6 Hg 2.97
Hg (0.5622, 0.9349, 0.6750)  1 Ge 2.77, 2 Sb 2.80-2.97
Hg (0.3872, 0.2599, 0.3250)  1 Ge 2.77, 2 Sb 2.80-2.97
Hg (0.9349, 0.3727, 0.2599)  1 Ge 2.77, 2 Sb 2.80-2.97
Hg (0.7599, 0.4349, 0.3727)  1 Ge 2.77, 2 Sb 2.80-2.97
Hg (0.1128, 0.9378, 0.3727)  1 Ge 2.77, 2 Sb 2.80-2.97
Hg (0.6750, 0.2401, 0.6128)  1 Ge 2.77, 2 Sb 2.80-2.97
Hg (0.1273, 0.7401, 0.5651)  1 Ge 2.77, 2 Sb 2.80-2.97
Hg (0.3727, 0.4378, 0.1128)  1 Ge 2.77, 2 Sb 2.80-2.97
Hg (0.9378, 0.8250, 0.5651)  1 Ge 2.77, 2 Sb 2.80-2.97
Hg (0.5651, 0.2401, 0.1273)  1 Ge 2.77, 2 Sb 2.80-2.97
Hg (0.3872, 0.1273, 0.5622)  1 Ge 2.77, 2 Sb 2.80-2.97
Hg (0.3727, 0.9349, 0.7599)  1 Ge 2.77, 2 Sb 2.80-2.97
Hg (0.7401, 0.1273, 0.0651)  1 Ge 2.77, 2 Sb 2.80-2.97
Hg (0.0622, 0.8872, 0.1273)  1 Ge 2.77, 2 Sb 2.80-2.97
Hg (0.1750, 0.1128, 0.7401)  1 Ge 2.77, 2 Sb 2.80-2.97
Hg (0.4378, 0.0651, 0.3250)  1 Ge 2.77, 2 Sb 2.80-2.97
Hg (0.6750, 0.4349, 0.5622)  1 Ge 2.77, 2 Sb 2.80-2.97
Hg (0.6128, 0.7401, 0.6750)  1 Ge 2.77, 2 Sb 2.80-2.97
Hg (0.0651, 0.4378, 0.8250)  1 Ge 2.77, 2 Sb 2.80-2.97
Hg (0.6128, 0.8727, 0.4378)  1 Ge 2.77, 2 Sb 2.80-2.97
Hg (0.5622, 0.6273, 0.3872)  1 Ge 2.77, 2 Sb 2.80-2.97
Hg (0.8727, 0.6128, 0.9378)  1 Ge 2.77, 2 Sb 2.80-2.97
Hg (0.2401, 0.5651, 0.6273)  1 Ge 2.77, 2 Sb 2.80-2.97
Hg (0.4349, 0.6750, 0.0622)  1 Ge 2.77, 2 Sb 2.80-2.97
Hg (0.2599, 0.3872, 0.8250)  1 Ge 2.77, 2 Sb 2.80-2.97
Hg (0.5651, 0.3250, 0.9378)  1 Ge 2.77, 2 Sb 2.80-2.97
Hg (0.2401, 0.6750, 0.1128)  1 Ge 2.77, 2 Sb 2.80-2.97
Hg (0.8727, 0.2599, 0.4349)  1 Ge 2.77, 2 Sb 2.80-2.97
Hg (0.4349, 0.7599, 0.8727)  1 Ge 2.77, 2 Sb 2.80-2.97
Hg (0.4378, 0.3727, 0.6128)  1 Ge 2.77, 2 Sb 2.80-2.97
Hg (0.0622, 0.1750, 0.4349)  1 Ge 2.77, 2 Sb 2.80-2.97
Hg (0.9378, 0.1128, 0.8727)  1 Ge 2.77, 2 Sb 2.80-2.97
Hg (0.6273, 0.0651, 0.2401)  1 Ge 2.77, 2 Sb 2.80-2.97
Hg (0.3250, 0.5651, 0.4378)  1 Ge 2.77, 2 Sb 2.80-2.97
Hg (0.8872, 0.0622, 0.6273)  1 Ge 2.77, 2 Sb 2.80-2.97
Hg (0.1128, 0.1750, 0.2401)  1 Ge 2.77, 2 Sb 2.80-2.97
Hg (0.0651, 0.6273, 0.7401)  1 Ge 2.77, 2 Sb 2.80-2.97
Hg (0.2599, 0.8727, 0.9349)  1 Ge 2.77, 2 Sb 2.80-2.97
Hg (0.7599, 0.3250, 0.8872)  1 Ge 2.77, 2 Sb 2.80-2.97
Hg (0.9349, 0.5622, 0.1750)  1 Ge 2.77, 2 Sb 2.80-2.97
Hg (0.8250, 0.9378, 0.0651)  1 Ge 2.77, 2 Sb 2.80-2.97
Hg (0.1750, 0.0622, 0.9349)  1 Ge 2.77, 2 Sb 2.80-2.97
Hg (0.3250, 0.7599, 0.3872)  1 Ge 2.77, 2 Sb 2.80-2.97
Hg (0.7401, 0.6128, 0.1750)  1 Ge 2.77, 2 Sb 2.80-2.97
Hg (0.1273, 0.3872, 0.0622)  1 Ge 2.77, 2 Sb 2.80-2.97
Hg (0.8872, 0.8250, 0.7599)  1 Ge 2.77, 2 Sb 2.80-2.97
Hg (0.8250, 0.8872, 0.2599)  1 Ge 2.77, 2 Sb 2.80-2.97
Hg (0.6273, 0.5622, 0.8872)  1 Ge 2.77, 2 Sb 2.80-2.97

Summary:
Uncorrected energy   -33.99 eV per formula unit
Fermi-level density of states   27.141 states/eV per cell
Formation energy without anion corrections   205 meV/atom



Entry 2:
Material: Li3TmCl6
Method: DFT, GGA-PBE
State: optimized geometry

Unit cell a=7.7655 b=7.7655 c=7.7655 alpha=91.56 beta=91.56 gamma=91.56
Closest atoms and distances in Å follow each position.
Positions (direct):
Tm (0.5000, 0.5000, 0.5000)  6 Cl 2.60
Tm (0.0000, 0.0000, 0.0000)  6 Cl 2.60
Cl (0.6877, 0.0756, 0.9079)  3 Li 2.52-2.78, 1 Tm 2.60
Cl (0.3123, 0.9244, 0.0921)  3 Li 2.52-2.78, 1 Tm 2.60
Cl (0.9244, 0.0921, 0.3123)  3 Li 2.52-2.78, 1 Tm 2.60
Cl (0.1888, 0.5595, 0.3876)  2 Li 2.49-2.63, 1 Tm 2.60
Cl (0.0756, 0.9079, 0.6877)  3 Li 2.52-2.78, 1 Tm 2.60
Cl (0.8112, 0.4405, 0.6124)  2 Li 2.49-2.63, 1 Tm 2.60
Cl (0.3876, 0.1888, 0.5595)  2 Li 2.49-2.63, 1 Tm 2.60
Cl (0.6124, 0.8112, 0.4405)  2 Li 2.49-2.63, 1 Tm 2.60
Cl (0.5595, 0.3876, 0.1888)  2 Li 2.49-2.63, 1 Tm 2.60
Cl (0.0921, 0.3123, 0.9244)  3 Li 2.52-2.78, 1 Tm 2.60
Cl (0.4405, 0.6124, 0.8112)  2 Li 2.49-2.63, 1 Tm 2.60
Cl (0.9079, 0.6877, 0.0756)  3 Li 2.52-2.78, 1 Tm 2.60
Li (0.7640, 0.4278, 0.9275)  5 Cl 2.49-2.78
Li (0.2360, 0.5722, 0.0725)  5 Cl 2.49-2.78
Li (0.5722, 0.0725, 0.2360)  5 Cl 2.49-2.78
Li (0.0725, 0.2360, 0.5722)  5 Cl 2.49-2.78
Li (0.9275, 0.7640, 0.4278)  5 Cl 2.49-2.78
Li (0.4278, 0.9275, 0.7640)  5 Cl 2.49-2.78

Summary:
Uncorrected energy   -40.93 eV per formula unit
Fermi-level density of states   0.000 states/eV per cell
ΔE to the lowest computed polymorph   0.0 meV/atom
Formation energy without anion corrections   -1964 meV/atom



Entry 3:
Material: K2TlVBr6
Method: DFT, GGA-PBE
State: optimized geometry

Unit cell a=7.9246 b=7.9247 c=8.0336 alpha=60.45 beta=60.45 gamma=60.00
Closest atoms and distances in Å follow each position.
Positions (direct):
K (0.5388, 0.5388, 0.3837)  6 Br 3.35-3.44
K (0.0285, 0.0284, 0.9147)  6 Br 3.29-3.48
Br (0.0116, 0.5402, 0.2472)  1 V 2.56
Br (0.6405, 0.1201, 0.7977)  1 V 2.58
Br (0.5402, 0.2011, 0.2472)  1 V 2.56
Br (0.1202, 0.4416, 0.7977)  1 V 2.58
Br (0.4417, 0.6405, 0.7977)  1 V 2.58
Br (0.2010, 0.0116, 0.2472)  1 V 2.56
Tl (0.8157, 0.8157, 0.5530)  6 Br 3.20-3.37
V (0.3236, 0.3236, 0.0292)  6 Br 2.56-2.58

Summary:
Uncorrected energy   -35.64 eV per formula unit
Fermi-level density of states   10.294 states/eV per cell
Formation energy without anion corrections   -1192 meV/atom



Entry 4:
Material: Th2PbN
Method: DFT, GGA-PBE
State: optimized geometry

Unit cell a=4.7372 b=4.7372 c=9.2558 alpha=90.02 beta=90.02 gamma=90.00
Closest atoms and distances in Å follow each position.
Positions (direct):
Th (0.2497, 0.2497, 0.1643)  1 N 2.29
Th (0.2500, 0.7500, 0.5000)  4 N 2.50-2.51
Th (0.7500, 0.2500, 0.5000)  4 N 2.50-2.51
Th (0.7503, 0.7503, 0.8357)  1 N 2.29
Pb (0.7497, 0.7497, 0.2017)  9 Th 3.37-3.64, 1 N 3.58
Pb (0.2503, 0.2503, 0.7983)  9 Th 3.37-3.64, 1 N 3.58
N (0.2499, 0.2499, 0.4120)  5 Th 2.29-2.51
N (0.7501, 0.7501, 0.5880)  5 Th 2.29-2.51

Summary:
Uncorrected energy   -30.63 eV per formula unit
Fermi-level density of states   4.787 states/eV per cell
Formation energy without anion corrections   -939 meV/atom



Entry 5:
Material: ReRhSe2
Method: DFT, GGA-PBE
State: optimized geometry

Unit cell a=2.9891 b=2.9891 c=8.5431 alpha=90.00 beta=90.00 gamma=119.66
Closest atoms and distances in Å follow each position.
Positions (direct):
Se (0.0000, 0.0000, 0.4957)  2 Re 2.58, 2 Rh 2.64
Se (0.0000, 0.0000, 0.0043)  2 Re 2.58, 2 Rh 2.64
Rh (0.5000, 0.5000, 0.7500)  4 Se 2.64
Re (0.5000, 0.5000, 0.2500)  4 Se 2.58

Summary:
Uncorrected energy   -24.16 eV per formula unit
Fermi-level density of states   4.502 states/eV per cell
ΔE to the lowest computed polymorph   620.8 meV/atom
Formation energy without anion corrections   652 meV/atom



Entry 6:
Material: CsTlC
Method: DFT, GGA-PBE
State: optimized geometry

Unit cell a=5.7743 b=7.3561 c=7.3531 alpha=133.67 beta=89.98 gamma=66.84
Closest atoms and distances in Å follow each position.
Positions (direct):
Tl (0.0980, 0.0025, 0.8801)  1 C 2.48
Tl (0.4169, 0.3679, 0.1948)  1 C 2.48
C (0.2248, 0.7501, 0.0059)  1 C 1.26
C (0.2901, 0.6202, 0.0689)  1 C 1.26
Cs (0.8707, 0.4580, 0.6513)  6 C 3.36-3.74
Cs (0.6440, 0.9125, 0.4236)  6 C 3.36-3.74

Summary:
E_form   5.6 kcal/mol of atoms
Uncorrected energy   -11.71 eV per formula unit
Fermi-level density of states   0.512 states/eV per cell



Entry 7:
Material: RbTi3In
Method: DFT, GGA-PBE
State: optimized geometry

Unit cell a=5.4090 b=5.4090 c=5.4090 alpha=90.00 beta=90.00 gamma=90.00
Closest atoms and distances in Å follow each position.
Positions (direct):
In (0.0000, 0.0000, 0.0000)  6 Ti 2.70
Rb (0.5000, 0.5000, 0.5000)  12 Ti 3.82
Ti (0.5000, 0.0000, 0.0000)  2 In 2.70
Ti (0.0000, 0.0000, 0.5000)  2 In 2.70
Ti (0.0000, 0.5000, 0.0000)  2 In 2.70

Summary:
E_form   28.9 kcal/mol of atoms
Uncorrected energy   -21.14 eV per formula unit
Fermi-level density of states   10.571 states/eV per cell
ΔE to the lowest computed polymorph   0.0 meV/atom



Entry 8:
Material: Rb2Tl3In5
Method: DFT, GGA-PBE
State: optimized geometry

Unit cell a=5.1376 b=5.1376 c=12.9384 alpha=90.00 beta=90.00 gamma=90.00
Closest atoms and distances in Å follow each position.
Positions (direct):
In (0.5000, 0.0000, 0.8727)  1 Tl 2.99, 4 In 3.05
In (0.0000, 0.5000, 0.1273)  1 Tl 2.99, 4 In 3.05
In (0.5000, 0.5000, 0.5000)  4 Tl 3.15
In (0.0000, 0.0000, 0.0000)  4 In 3.05
In (0.5000, 0.5000, 0.0000)  4 In 3.05
Tl (0.5000, 0.0000, 0.6413)  3 In 2.99-3.15, 2 Tl 3.15
Tl (0.0000, 0.0000, 0.5000)  4 Tl 3.15
Tl (0.0000, 0.5000, 0.3587)  3 In 2.99-3.15, 2 Tl 3.15
Rb (0.0000, 0.5000, 0.7537)  6 Tl 3.91-4.17, 10 In 3.95-4.17
Rb (0.5000, 0.0000, 0.2463)  6 Tl 3.91-4.17, 10 In 3.95-4.17

Summary:
E_form   -2.0 kcal/mol of atoms
Uncorrected energy   -23.60 eV per formula unit
Fermi-level density of states   3.664 states/eV per cell



Question: Which of these has the highest uncorrected energy?
Answer: CsTlC



Question: The highest uncorrected energy belongs to which entry?
Answer: CsTlC



Question: Which of these has the highest Fermi-level density of states?
Answer: Hg12Ge3Sb5



Question: Among the records above, which one has the highest Fermi-level density of states?
Answer: Hg12Ge3Sb5